A plane-wave DFT calculation with PBE was carried out for crystalline Ca3Er2TmTe6 at its relaxed geometry.

a b c (Å): 4.370 8.858 9.889
angles (deg): 104.11 102.76 90.00
Atoms (fractional coordinates):
Ca1 0.500 0.500 0.000
Ca2 0.833 0.167 0.666
Ca3 0.167 0.833 0.334
Er1 0.832 0.665 0.665
Er2 0.168 0.335 0.335
Tm1 0.500 0.000 0.000
Te1 0.336 0.912 0.672
Te2 0.668 0.580 0.336
Te3 0.664 0.088 0.328
Te4 0.002 0.244 0.004
Te5 0.998 0.756 0.996
Te6 0.332 0.420 0.664

Crystal system ... monoclinic
Total moment ... 0.0 μB/f.u.
Calculated total energy ... -55.4 eV per cell
Formation energy from raw total energies ... -1416 meV per atom